Entry 1:
4
Lattice="0.000 3.044 3.044 3.044 0.000 3.044 3.044 3.044 0.000" Properties=species:S:1:pos:R:3 comment="PBE-GGA InFeCoTc, relaxed" e_above_lowest_polymorph_ev_per_atom=0.000 mass_density_g_cm3=9.64 total_magnetization_mub_per_fu=3.9 final_energy_ev_per_atom=-6.8487 pbc="T T T"
Co 4.566 4.566 4.566
Fe 1.522 1.522 1.522
In 0.000 0.000 0.000
Tc 3.044 3.044 3.044


Entry 2:
4
Lattice="3.213 2.612 1.245 -0.803 3.280 2.701 1.451 -0.146 4.070" Properties=species:S:1:pos:R:3 comment="PBE-GGA TlFeCoCu, relaxed" e_above_lowest_polymorph_ev_per_atom=0.000 mass_density_g_cm3=11.12 total_magnetization_mub_per_fu=3.9 final_energy_ev_per_atom=-4.9665 pbc="T T T"
Co 2.896 4.309 6.011
Cu 0.965 1.436 2.004
Fe 1.931 2.873 4.008
Tl 0.000 0.000 0.000


Entry 3:
9
Lattice="3.853 0.000 0.000 0.000 6.718 3.883 0.000 -6.718 3.883" Properties=species:S:1:pos:R:3 comment="PBE-GGA Dy2HoIn3CuAu2, relaxed" mass_density_g_cm3=10.67 total_magnetization_mub_per_fu=0.0 final_energy_ev_per_atom=-4.2506 pbc="T T T"
Au 1.926 2.233 3.884
Au 1.926 -2.233 3.884
Cu 0.000 0.000 7.763
Dy 0.000 2.704 1.563
Dy 0.000 -2.704 1.563
Ho 0.000 0.000 4.642
In 1.926 0.000 1.951
In 1.926 1.686 6.789
In 1.926 -1.686 6.789


Entry 4:
8
Lattice="-3.579 0.712 3.342 0.802 -1.107 4.758 0.610 4.140 3.432" Properties=species:S:1:pos:R:3 comment="PBE-GGA LiPaF6, relaxed" mass_density_g_cm3=5.99 total_magnetization_mub_per_fu=0.0 final_energy_ev_per_atom=-6.3896 pbc="T T T"
F -2.644 1.090 6.617
F -1.654 1.177 4.045
F -0.068 0.254 6.104
F -2.099 3.491 5.428
F -0.514 2.568 7.487
F 0.476 2.655 4.915
Li -1.084 1.872 5.766
Pa 0.000 0.000 0.000


Entry 5:
6
Lattice="-0.146 3.649 2.916 -3.942 1.893 -1.649 1.529 -3.808 2.237" Properties=species:S:1:pos:R:3 comment="PBE-GGA TmTcB4, relaxed" e_above_lowest_polymorph_ev_per_atom=0.000 mass_density_g_cm3=8.79 total_magnetization_mub_per_fu=0.0 final_energy_ev_per_atom=-7.3684 pbc="T T T"
B -0.556 1.330 2.047
B -2.457 0.456 -0.235
B -0.102 1.278 3.740
B -2.003 0.404 1.458
Tc 0.000 0.000 0.000
Tm -2.044 2.771 0.634


Entry 6:
40
Lattice="7.878 0.000 0.000 0.267 8.009 0.000 0.005 0.034 8.023" Properties=species:S:1:pos:R:3 comment="PBE-GGA DySbN2O, relaxed" mass_density_g_cm3=8.61 total_magnetization_mub_per_fu=0.0 final_energy_ev_per_atom=-7.0533 pbc="T T T"
Dy 7.788 7.621 1.955
Dy 3.734 7.837 1.959
Dy 7.481 3.872 2.042
Dy 3.697 3.752 2.077
Dy 4.055 4.291 5.954
Dy 0.270 4.170 5.978
Dy 4.014 0.207 6.062
Dy 7.838 0.426 6.070
N 3.789 1.497 0.373
N 7.889 5.641 0.535
N 5.412 4.022 0.564
N 1.586 2.739 1.992
N 6.416 1.647 1.994
N 1.396 0.026 3.388
N 3.801 1.666 3.515
N 7.890 5.585 3.524
N 7.738 2.456 4.495
N 3.950 6.375 4.510
N 6.358 8.015 4.630
N 1.331 6.401 6.029
N 6.167 5.304 6.034
N 2.334 4.022 7.453
N 7.738 2.408 7.495
N 3.961 6.541 7.643
O 1.361 0.020 0.438
O 2.568 5.749 2.012
O 5.649 6.590 2.044
O 5.434 4.026 3.593
O 2.317 4.014 4.434
O 2.098 1.451 5.977
O 5.186 2.290 6.010
O 6.395 8.023 7.589
Sb 1.832 2.108 0.064
Sb 5.765 2.060 0.087
Sb 1.781 1.963 3.885
Sb 5.805 1.902 3.934
Sb 1.945 6.141 4.090
Sb 5.970 6.079 4.140
Sb 1.984 5.984 7.936
Sb 5.919 5.938 7.961


Entry 7:
16
Lattice="-3.283 -3.973 -2.134 9.047 -8.895 2.645 -2.068 -0.745 4.569" Properties=species:S:1:pos:R:3 comment="PBE-GGA ZrIn, relaxed" mass_density_g_cm3=7.47 total_magnetization_mub_per_fu=0.0 final_energy_ev_per_atom=-5.6940 pbc="T T T"
In -3.260 -3.946 -2.119
In 1.264 -8.394 -0.797
In 4.128 -7.388 0.664
In 6.407 -9.628 1.330
In -2.151 -1.724 1.558
In -2.771 -4.937 0.754
In -0.492 -7.177 1.420
In 2.373 -6.171 2.880
Zr -0.515 -3.179 -0.751
Zr 2.221 -2.273 0.635
Zr 1.678 -5.335 -0.111
Zr 3.711 -10.392 -0.015
Zr -0.075 -4.173 2.098
Zr 1.958 -9.230 2.194
Zr 4.698 -8.319 3.583
Zr 4.150 -11.385 2.835


Entry 8:
32
Lattice="-5.781 0.889 5.516 -9.457 -2.381 -9.528 0.333 -7.668 1.586" Properties=species:S:1:pos:R:3 comment="PBE-GGA BaHgSeO, relaxed" mass_density_g_cm3=6.69 final_energy_ev_per_atom=-3.9809 pbc="T T T"
Ba -2.344 -1.379 -1.379
Ba -9.119 -2.255 -4.191
Ba -5.151 -2.869 1.779
Ba -11.926 -3.745 -1.032
Ba -2.979 -5.415 -1.394
Ba -9.754 -6.290 -4.205
Ba -5.785 -6.905 1.764
Ba -12.560 -7.781 -1.047
Hg -4.631 0.375 3.611
Hg -9.619 -0.776 -0.905
Hg -1.588 -3.577 1.579
Hg -6.576 -4.728 -2.938
Hg -8.329 -4.432 0.511
Hg -13.316 -5.583 -4.005
Hg -5.286 -8.384 -1.521
Hg -10.273 -9.535 -6.038
O -6.220 -0.611 2.316
O -11.000 -1.794 -2.399
O -3.231 -3.320 0.026
O -8.011 -4.503 -4.689
O -6.894 -4.657 2.263
O -11.673 -5.840 -2.453
O -3.905 -7.366 -0.027
O -8.684 -8.549 -4.742
Se -7.520 -2.414 -0.973
Se -14.487 -3.260 -3.600
Se -4.619 -3.082 -3.685
Se -11.587 -3.928 -6.312
Se -3.317 -5.232 3.886
Se -10.285 -6.078 1.259
Se -0.417 -5.900 1.174
Se -7.385 -6.746 -1.453


Entry 9:
6
Lattice="-3.528 3.528 -2.969 -3.528 -3.528 2.969 3.528 3.528 2.969" Properties=species:S:1:pos:R:3 comment="PBE-GGA Bi2Pd, relaxed" mass_density_g_cm3=11.78 final_energy_ev_per_atom=-4.6326 pbc="T T T"
Bi -2.363 1.165 0.000
Bi -2.363 -1.165 2.969
Bi -1.165 4.693 0.000
Bi -1.165 2.363 2.969
Pd 0.000 0.000 1.485
Pd 0.000 0.000 4.454


Entry 10:
8
Lattice="4.062 0.000 0.000 -2.031 3.517 0.000 0.000 0.000 10.102" Properties=species:S:1:pos:R:3 comment="PBE-GGA LaPrFe4Si2, relaxed" mass_density_g_cm3=6.44 total_magnetization_mub_per_fu=5.0 final_energy_ev_per_atom=-7.0549 pbc="T T T"
Fe 2.031 1.172 2.262
Fe 0.000 2.345 2.779
Fe 0.000 2.345 7.323
Fe 2.031 1.172 7.840
La 0.000 2.345 0.000
Pr 2.031 1.172 5.051
Si 0.000 0.000 2.550
Si 0.000 0.000 7.553


Entry 11:
3
Lattice="0.000 3.359 3.359 3.359 0.000 3.359 3.359 3.359 0.000" Properties=species:S:1:pos:R:3 comment="PBE-GGA DyTlNi, relaxed" mass_density_g_cm3=9.32 total_magnetization_mub_per_fu=0.0 final_energy_ev_per_atom=-3.8281 pbc="T T T"
Dy 0.000 0.000 0.000
Ni 1.680 1.680 1.680
Tl 5.039 5.039 5.039


Entry 12:
8
Lattice="6.855 0.000 0.000 0.000 6.585 0.000 -2.137 0.000 6.827" Properties=species:S:1:pos:R:3 comment="PBE-GGA CsK3Zn2Sn2, relaxed" mass_density_g_cm3=3.33 final_energy_ev_per_atom=-2.0151 pbc="T T T"
Cs -1.270 0.000 4.600
K 4.663 0.000 0.086
K 6.015 3.293 2.188
K 0.103 3.293 6.789
Sn 1.318 0.000 1.634
Sn 3.442 3.293 5.143
Zn 2.300 1.649 3.434
Zn 2.300 4.936 3.434


Entry 13:
3
Lattice="-3.807 -2.894 0.897 -4.148 1.893 1.699 -3.933 0.200 -2.857" Properties=species:S:1:pos:R:3 comment="PBE-GGA HoLuMo, relaxed" e_above_lowest_polymorph_ev_per_atom=0.000 mass_density_g_cm3=8.89 total_magnetization_mub_per_fu=1.8 delta_e_f_ev_per_atom=1.19 final_energy_ev_per_atom=-5.4589 pbc="T T T"
Ho -5.944 -0.401 -0.130
Lu -2.972 -0.200 -0.065
Mo 0.000 0.000 0.000


Entry 14:
13
Lattice="5.013 -3.766 0.000 5.013 3.766 0.000 -3.323 0.000 5.276" Properties=species:S:1:pos:R:3 comment="PBE-GGA Pr3Cd2O8, relaxed" mass_density_g_cm3=6.46 total_magnetization_mub_per_fu=3.0 final_energy_ev_per_atom=-6.2382 pbc="T T T"
Cd 6.032 0.000 1.082
Cd 0.670 0.000 4.194
O 3.873 0.000 1.218
O 8.139 0.000 1.284
O 5.928 -2.216 1.593
O 5.928 2.216 1.593
O 0.774 -2.216 3.683
O 0.774 2.216 3.683
O -1.436 0.000 3.992
O 2.829 0.000 4.058
Pr 0.000 0.000 0.000
Pr 3.351 -1.790 2.638
Pr 3.351 1.790 2.638


Entry 15:
4
Lattice="0.000 3.444 3.444 3.444 0.000 3.444 3.444 3.444 0.000" Properties=species:S:1:pos:R:3 comment="PBE-GGA MgSnTeW, relaxed" e_above_lowest_polymorph_ev_per_atom=0.000 mass_density_g_cm3=9.24 total_magnetization_mub_per_fu=0.3 final_energy_ev_per_atom=-4.9194 pbc="T T T"
Mg 5.165 5.165 5.165
Sn 0.000 0.000 0.000
Te 3.444 3.444 3.444
W 1.722 1.722 1.722


Entry 16:
3
Lattice="0.000 3.209 3.209 3.209 0.000 3.209 3.209 3.209 0.000" Properties=species:S:1:pos:R:3 comment="PBE-GGA UNbAs, relaxed" mass_density_g_cm3=10.20 total_magnetization_mub_per_fu=2.3 final_energy_ev_per_atom=-8.5160 pbc="T T T"
As 0.000 0.000 0.000
Nb 1.604 1.604 1.604
U 4.813 4.813 4.813


Entry 17:
3
Lattice="0.000 3.625 3.625 3.625 0.000 3.625 3.625 3.625 0.000" Properties=species:S:1:pos:R:3 comment="PBE-GGA AcZrSi, relaxed" e_above_lowest_polymorph_ev_per_atom=1.069 mass_density_g_cm3=6.04 total_magnetization_mub_per_fu=2.8 final_energy_ev_per_atom=-5.0235 pbc="T T T"
Ac 0.000 0.000 0.000
Si 1.812 1.812 1.812
Zr 5.437 5.437 5.437


Entry 18:
8
Lattice="4.958 0.000 0.000 0.000 4.958 0.000 0.000 0.000 7.010" Properties=species:S:1:pos:R:3 comment="PBE-GGA GdYCd2Ag4, relaxed" mass_density_g_cm3=8.70 total_magnetization_mub_per_fu=0.0 delta_e_f_ev_per_atom=-0.30 final_energy_ev_per_atom=-3.3266 pbc="T T T"
Ag 2.479 0.000 1.754
Ag 0.000 2.479 1.754
Ag 2.479 0.000 5.256
Ag 0.000 2.479 5.256
Cd 2.479 2.479 0.000
Cd 0.000 0.000 3.505
Gd 0.000 0.000 0.000
Y 2.479 2.479 3.505


Entry 19:
4
Lattice="-0.844 2.110 3.701 -3.054 -1.493 2.703 1.138 -1.753 3.807" Properties=species:S:1:pos:R:3 comment="PBE-GGA ScCo2Pt, relaxed" mass_density_g_cm3=10.26 total_magnetization_mub_per_fu=3.1 delta_e_f_ev_per_atom=-0.29 final_energy_ev_per_atom=-6.9364 pbc="T T T"
Co -0.690 -0.284 2.553
Co -1.380 -0.568 5.106
Pt -2.070 -0.852 7.658
Sc 0.000 0.000 0.000


Entry 20:
9
Lattice="4.780 0.000 0.000 -2.390 4.140 0.000 0.000 0.000 11.236" Properties=species:S:1:pos:R:3 comment="PBE-GGA Li3Tb2NdPb3, relaxed" mass_density_g_cm3=8.25 total_magnetization_mub_per_fu=0.0 final_energy_ev_per_atom=-3.9231 pbc="T T T"
Li 2.390 1.380 2.218
Li 0.000 2.760 5.618
Li 2.390 1.380 9.018
Nd 0.000 0.000 0.000
Pb 0.000 2.760 2.026
Pb 2.390 1.380 5.618
Pb 0.000 2.760 9.210
Tb 0.000 0.000 3.813
Tb 0.000 0.000 7.423


Entry 21:
3
Lattice="4.285 0.208 2.169 0.379 1.914 4.393 0.920 -2.823 3.781" Properties=species:S:1:pos:R:3 comment="PBE-GGA PmGdPt, relaxed" mass_density_g_cm3=10.51 total_magnetization_mub_per_fu=0.0 delta_e_f_ev_per_atom=-0.13 final_energy_ev_per_atom=-5.2817 pbc="T T T"
Gd 0.000 0.000 0.000
Pm 1.396 -0.175 2.586
Pt 4.188 -0.525 7.757


Entry 22:
12
Lattice="-5.404 3.147 -4.675 3.511 -6.498 2.531 -7.333 -0.896 7.874" Properties=species:S:1:pos:R:3 comment="PBE-GGA BaDyAgTe2S, relaxed" mass_density_g_cm3=6.48 total_magnetization_mub_per_fu=0.0 final_energy_ev_per_atom=-4.6667 pbc="T T T"
Ag -2.975 -1.688 0.739
Ag -6.251 -2.559 4.991
Ba -0.739 -4.108 2.546
Ba -8.487 -0.140 3.184
Dy 0.000 0.000 0.000
Dy -3.667 -0.448 3.937
S -6.624 2.260 -2.211
S -2.602 -6.507 7.941
Te -2.592 -0.355 -1.683
Te -5.494 -0.710 1.433
Te -3.731 -3.537 4.297
Te -6.633 -3.892 7.413


Entry 23:
10
Lattice="4.187 -1.862 0.000 4.187 1.862 0.000 -0.043 0.000 8.355" Properties=species:S:1:pos:R:3 comment="PBE-GGA Cu4Ag, relaxed" e_above_lowest_polymorph_ev_per_atom=0.027 mass_density_g_cm3=9.23 delta_e_f_ev_per_atom=0.07 final_energy_ev_per_atom=-3.4672 pbc="T T T"
Ag 3.332 0.000 2.487
Ag 4.999 0.000 5.869
Cu 4.187 0.000 0.000
Cu 6.653 0.000 0.773
Cu 0.832 0.000 1.601
Cu 5.841 0.000 3.334
Cu -0.022 0.000 4.178
Cu 2.491 0.000 5.022
Cu 7.499 0.000 6.754
Cu 1.678 0.000 7.582